#w
# TiFeS2Cl GGA-PBE optimized geometry
# Total moment   3.59 μB/f.u.
# ρ   3.2 g/cm3
data_TiFeS2Cl
_space_group_name_H-M_alt 'P 4/m m m'
_space_group_IT_number 123
_space_group_name_Hall '-P 4 2'
_cell_length_a 4.7259
_cell_length_b 4.7259
_cell_length_c 4.6939
_cell_angle_alpha 90.00
_cell_angle_beta 90.00
_cell_angle_gamma 90.00
loop_
_atom_site_label
_atom_site_fract_x
_atom_site_fract_y
_atom_site_fract_z
_atom_site_occupancy
Ti1 0.0000 0.0000 0.0000 1
Fe1 0.5000 0.5000 0.5000 1
S1 0.0000 0.5000 0.0000 1
Cl1 0.0000 0.0000 0.5000 1

=====

#x
# TiFeS2Cl GGA-PBE optimized geometry
# Total moment   0.00 μB/f.u.
# ρ   3.9 g/cm3
data_TiFeS2Cl
_space_group_name_H-M_alt 'P 4/m m m'
_space_group_IT_number 123
_space_group_name_Hall '-P 4 2'
_cell_length_a 4.4179
_cell_length_b 4.4179
_cell_length_c 4.4016
_cell_angle_alpha 90.00
_cell_angle_beta 90.00
_cell_angle_gamma 90.00
loop_
_atom_site_label
_atom_site_fract_x
_atom_site_fract_y
_atom_site_fract_z
_atom_site_occupancy
Ti1 0.0000 0.0000 0.0000 1
Fe1 0.5000 0.5000 0.5000 1
S1 0.0000 0.5000 0.5000 1
Cl1 0.5000 0.5000 0.0000 1

=====

Which of them is most stable? Easy: #w.

=====

#w
# TlFeSCl2 GGA-PBE optimized geometry
# Total moment   0.02 μB/f.u.
# ρ   5.6 g/cm3
data_TlFeSCl2
_space_group_name_H-M_alt 'P 4/m m m'
_space_group_IT_number 123
_space_group_name_Hall '-P 4 2'
_cell_length_a 5.0284
_cell_length_b 5.0284
_cell_length_c 4.2521
_cell_angle_alpha 90.00
_cell_angle_beta 90.00
_cell_angle_gamma 90.00
loop_
_atom_site_label
_atom_site_fract_x
_atom_site_fract_y
_atom_site_fract_z
_atom_site_occupancy
Tl1 0.0000 0.0000 0.0000 1
Fe1 0.5000 0.5000 0.5000 1
S1 0.5000 0.5000 0.0000 1
Cl1 0.0000 0.5000 0.5000 1

=====

#x
# TlFeSCl2 GGA-PBE optimized geometry
# Total moment   3.65 μB/f.u.
# ρ   4.2 g/cm3
data_TlFeSCl2
_space_group_name_H-M_alt 'P 4/m m m'
_space_group_IT_number 123
_space_group_name_Hall '-P 4 2'
_cell_length_a 5.2858
_cell_length_b 5.2858
_cell_length_c 5.1641
_cell_angle_alpha 90.00
_cell_angle_beta 90.00
_cell_angle_gamma 90.00
loop_
_atom_site_label
_atom_site_fract_x
_atom_site_fract_y
_atom_site_fract_z
_atom_site_occupancy
Tl1 0.0000 0.0000 0.0000 1
Fe1 0.5000 0.5000 0.5000 1
S1 0.0000 0.0000 0.5000 1
Cl1 0.0000 0.5000 0.0000 1

=====

Which of them is most stable? Easy: #w.

=====

#w
# ZrFeS2Cl GGA-PBE optimized geometry
# Total moment   3.70 μB/f.u.
# ρ   3.3 g/cm3
data_ZrFeS2Cl
_space_group_name_H-M_alt 'P 4/m m m'
_space_group_IT_number 123
_space_group_name_Hall '-P 4 2'
_cell_length_a 5.0056
_cell_length_b 5.0056
_cell_length_c 4.9516
_cell_angle_alpha 90.00
_cell_angle_beta 90.00
_cell_angle_gamma 90.00
loop_
_atom_site_label
_atom_site_fract_x
_atom_site_fract_y
_atom_site_fract_z
_atom_site_occupancy
Zr1 0.0000 0.0000 0.0000 1
Fe1 0.5000 0.5000 0.5000 1
S1 0.0000 0.5000 0.0000 1
Cl1 0.0000 0.0000 0.5000 1

=====

#x
# ZrFeS2Cl GGA-PBE optimized geometry
# Total moment   4.34 μB/f.u.
# ρ   2.9 g/cm3
data_ZrFeS2Cl
_space_group_name_H-M_alt 'P 4/m m m'
_space_group_IT_number 123
_space_group_name_Hall '-P 4 2'
_cell_length_a 4.8263
_cell_length_b 4.8263
_cell_length_c 6.0251
_cell_angle_alpha 90.00
_cell_angle_beta 90.00
_cell_angle_gamma 90.00
loop_
_atom_site_label
_atom_site_fract_x
_atom_site_fract_y
_atom_site_fract_z
_atom_site_occupancy
Zr1 0.0000 0.0000 0.0000 1
Fe1 0.0000 0.0000 0.5000 1
S1 0.0000 0.5000 0.0000 1
Cl1 0.5000 0.5000 0.5000 1

=====

Which of them is most stable? Easy: #w.

=====

#w
# ZrFeSCl2 GGA-PBE optimized geometry
# Total moment   0.00 μB/f.u.
# ρ   4.7 g/cm3
data_ZrFeSCl2
_space_group_name_H-M_alt 'P 4/m m m'
_space_group_IT_number 123
_space_group_name_Hall '-P 4 2'
_cell_length_a 4.4036
_cell_length_b 4.4036
_cell_length_c 4.5684
_cell_angle_alpha 90.00
_cell_angle_beta 90.00
_cell_angle_gamma 90.00
loop_
_atom_site_label
_atom_site_fract_x
_atom_site_fract_y
_atom_site_fract_z
_atom_site_occupancy
Zr1 0.0000 0.0000 0.0000 1
Fe1 0.5000 0.5000 0.5000 1
S1 0.5000 0.5000 0.0000 1
Cl1 0.0000 0.5000 0.5000 1

=====

#x
# ZrFeSCl2 GGA-PBE optimized geometry
# Total moment   4.41 μB/f.u.
# ρ   3.2 g/cm3
data_ZrFeSCl2
_space_group_name_H-M_alt 'P 4/m m m'
_space_group_IT_number 123
_space_group_name_Hall '-P 4 2'
_cell_length_a 5.0842
_cell_length_b 5.0842
_cell_length_c 4.9771
_cell_angle_alpha 90.00
_cell_angle_beta 90.00
_cell_angle_gamma 90.00
loop_
_atom_site_label
_atom_site_fract_x
_atom_site_fract_y
_atom_site_fract_z
_atom_site_occupancy
Zr1 0.0000 0.0000 0.0000 1
Fe1 0.5000 0.5000 0.5000 1
S1 0.0000 0.0000 0.5000 1
Cl1 0.0000 0.5000 0.0000 1

=====

Which of them is most stable? Easy: #x.